#1
The following is a GGA-PBE calculation of a relaxed Pr6Dy2Th crystal, from Alexandria via LeMat-Bulk.

Unit cell a=3.652 b=3.652 c=27.400 alpha=90.00 beta=90.00 gamma=120.00
Fractional coordinates of all 9 atoms:
Pr1 0.000 0.000 0.066
Pr2 0.000 0.000 0.278
Pr3 0.000 0.000 0.722
Pr4 0.000 0.000 0.934
Pr5 0.333 0.667 0.392
Pr6 0.333 0.667 0.608
Dy1 0.333 0.667 0.170
Dy2 0.333 0.667 0.830
Th1 0.000 0.000 0.500

Summary:
**Crystal system**: hexagonal
**Space group**: P-6m2, No. 187

***

#2
The following is a GGA-PBE calculation of a relaxed Pr6Dy2Th crystal, from Alexandria via LeMat-Bulk.

Unit cell a=10.255 b=10.255 c=3.676 alpha=94.34 beta=94.34 gamma=125.47
Fractional coordinates of all 9 atoms:
Pr1 0.001 0.660 0.683
Pr2 0.173 0.173 0.827
Pr3 0.340 0.999 0.317
Pr4 0.660 0.001 0.683
Pr5 0.827 0.827 0.173
Pr6 0.999 0.340 0.317
Dy1 0.339 0.661 0.000
Dy2 0.661 0.339 0.000
Th1 0.500 0.500 0.500

Summary:
**Crystal system**: monoclinic
**Space group**: C2/m, No. 12

***

Name the least stable of them. #2.